(1)
Material: Tb2NpAg2S6
Method: DFT, PBE
State: optimized geometry

Computed properties:
SG = C2/m (12)
final energy = -0.2230 hartree per atom
E_form (uncorrected) = -1.281 eV/atom
Fermi-level density of states = 9.85 states/eV/f.u.

Cell and atoms, written as extended XYZ:
```
11
Lattice="3.487 -6.105 0.000 3.487 6.105 0.000 -1.060 0.000 6.423" Properties=species:S:1:pos:R:3 pbc="T T T"
Tb 3.487 4.086 0.000
Tb 3.487 -4.086 0.000
Np 3.487 0.000 0.000
Ag 2.957 1.500 3.211
Ag 2.957 -1.500 3.211
S 1.288 2.020 4.992
S 1.231 0.000 1.449
S 1.288 -2.020 4.992
S 4.626 2.020 1.431
S 4.682 0.000 4.974
S 4.626 -2.020 1.431
```

(2)
Material: PrHg2Pt
Method: DFT, PBE
State: optimized geometry

Computed properties:
SG = I4/mmm (139)
final energy = -0.1219 hartree per atom
formation energy = -0.4598 eV/atom
Fermi-level density of states = 1.52 states/eV/f.u.

Cell and atoms, written as extended XYZ:
```
4
Lattice="-2.273 2.273 4.463 2.273 -2.273 4.463 2.273 2.273 -4.463" Properties=species:S:1:pos:R:3 pbc="T T T"
Pr 0.000 0.000 0.000
Hg 2.273 0.000 2.231
Hg 0.000 2.273 2.231
Pt 0.000 0.000 4.463
```